! PBE Dy3YAl8, relaxed; values from VASP
&SYSTEM
  ibrav = 0, nat = 12, ntyp = 3
/
ATOMIC_SPECIES
Dy 162.50 Dy.upf
Y 88.91 Y.upf
Al 26.98 Al.upf
CELL_PARAMETERS angstrom
2.7771 1.6034 9.1140
-2.7771 1.6034 9.1140
0.0000 -3.2067 9.1140
ATOMIC_POSITIONS crystal
Dy 0.0000 0.0000 0.0000
Dy 0.1244 0.1244 0.1244
Dy 0.6246 0.6246 0.6246
Y 0.4999 0.4999 0.4999
Al 0.0623 0.0623 0.5623
Al 0.0623 0.5623 0.0623
Al 0.0620 0.5623 0.5623
Al 0.3122 0.3122 0.3122
Al 0.5623 0.0623 0.0623
Al 0.5623 0.0620 0.5623
Al 0.5623 0.5623 0.0620
Al 0.8122 0.8122 0.8122
! offset from the most stable computed form	0.0	meV per atom
! electronic total energy	-56.5	eV per cell
! energy of formation from the pure elements	-0.5217	eV per atom



! PBE CsLaTe2N, relaxed; values from VASP
&SYSTEM
  ibrav = 0, nat = 5, ntyp = 4
/
ATOMIC_SPECIES
Cs 132.91 Cs.upf
La 138.91 La.upf
Te 127.60 Te.upf
N 14.01 N.upf
CELL_PARAMETERS angstrom
6.2145 0.0000 0.0000
0.0000 6.2145 0.0000
0.0000 0.0000 4.4519
ATOMIC_POSITIONS crystal
Cs 0.0000 0.0000 0.0000
La 0.5000 0.5000 0.5000
Te 0.0000 0.5000 0.0000
Te 0.5000 0.0000 0.0000
N 0.0000 0.0000 0.5000
! offset from the most stable computed form	1188.0	meV per atom
! electronic total energy	-16.3	eV per cell
! formation energy without anion corrections	0.812	eV per atom



! PBE La7Tc6, relaxed; values from VASP
&SYSTEM
  ibrav = 0, nat = 13, ntyp = 2
/
ATOMIC_SPECIES
La 138.91 La.upf
Tc 98.00 Tc.upf
CELL_PARAMETERS angstrom
3.4940 2.0173 8.2092
-3.4940 2.0173 8.2092
0.0000 -4.0345 8.2092
ATOMIC_POSITIONS crystal
La 0.0000 0.0000 0.0000
La 0.0891 0.0891 0.5501
La 0.0891 0.5501 0.0891
La 0.4499 0.9109 0.9109
La 0.5501 0.0891 0.0891
La 0.9109 0.4499 0.9109
La 0.9109 0.9109 0.4499
Tc 0.1433 0.1433 0.1433
Tc 0.3572 0.3572 0.3572
Tc 0.4466 0.4466 0.4466
Tc 0.5534 0.5534 0.5534
Tc 0.6428 0.6428 0.6428
Tc 0.8567 0.8567 0.8567
! electronic total energy	-86.3	eV per cell
! energy of formation from the pure elements	0.8008	eV per atom